(1)
Hf2ZrTi | GGA-PBE | relaxed

## Properties
energy relative to the elements = 0.086 eV per atom
energy above the lowest structure with this stoichiometry = 12.1 meV per atom

Unit cell a=4.4017 b=4.4017 c=4.4030 alpha=90.00 beta=90.00 gamma=90.00
Fractional positions:
Hf 0.0000 0.5000 0.0000
Hf 0.5000 0.0000 0.0000
Zr 0.0000 0.0000 0.5000
Ti 0.5000 0.5000 0.5000

***

(2)
LiNpAuO5 | GGA-PBE | relaxed

## Properties
raw formation energy = -1.621 eV/atom

Unit cell a=6.1363 b=6.1363 c=7.8159 alpha=98.55 beta=98.55 gamma=123.90
Fractional positions:
Li 0.0176 0.9824 0.7500
Li 0.9824 0.0176 0.2500
Np 0.0000 0.5000 0.0000
Np 0.5000 0.0000 0.5000
Au 0.4537 0.5463 0.7500
Au 0.5463 0.4537 0.2500
O 0.1434 0.3111 0.1163
O 0.1716 0.8284 0.2500
O 0.2736 0.6660 0.5575
O 0.3111 0.1434 0.6163
O 0.3340 0.7264 0.9425
O 0.6660 0.2736 0.0575
O 0.6889 0.8566 0.3837
O 0.7264 0.3340 0.4425
O 0.8284 0.1716 0.7500
O 0.8566 0.6889 0.8837

***

(3)
K3Eu5Cl12 | GGA-PBE | relaxed

## Properties
raw formation energy = -2.097 eV/atom

Unit cell a=15.5921 b=15.5921 c=15.5921 alpha=109.47 beta=109.47 gamma=109.47
Fractional positions:
K 0.1250 0.2500 0.3750
K 0.1250 0.3750 0.7500
K 0.2500 0.3750 0.1250
K 0.2500 0.8750 0.6250
K 0.3750 0.1250 0.2500
K 0.3750 0.7500 0.1250
K 0.6250 0.2500 0.8750
K 0.6250 0.8750 0.7500
K 0.7500 0.1250 0.3750
K 0.7500 0.6250 0.8750
K 0.8750 0.6250 0.2500
K 0.8750 0.7500 0.6250
Eu 0.0000 0.0000 0.0000
Eu 0.0000 0.0000 0.5000
Eu 0.0000 0.5000 0.0000
Eu 0.0000 0.5000 0.5000
Eu 0.1250 0.7500 0.8750
Eu 0.1250 0.8750 0.2500
Eu 0.2500 0.1250 0.8750
Eu 0.2500 0.6250 0.3750
Eu 0.3750 0.2500 0.6250
Eu 0.3750 0.6250 0.7500
Eu 0.5000 0.0000 0.0000
Eu 0.5000 0.0000 0.5000
Eu 0.5000 0.5000 0.0000
Eu 0.5000 0.5000 0.5000
Eu 0.6250 0.3750 0.2500
Eu 0.6250 0.7500 0.3750
Eu 0.7500 0.3750 0.6250
Eu 0.7500 0.8750 0.1250
Eu 0.8750 0.1250 0.7500
Eu 0.8750 0.2500 0.1250
Cl 0.0331 0.2063 0.1260
Cl 0.0331 0.3269 0.9071
Cl 0.0802 0.7063 0.6731
Cl 0.0802 0.8740 0.4071
Cl 0.0929 0.6260 0.4198
Cl 0.0929 0.9669 0.6731
Cl 0.1260 0.0331 0.2063
Cl 0.1260 0.5929 0.9198
Cl 0.1731 0.2063 0.5802
Cl 0.1731 0.4669 0.5929
Cl 0.2063 0.1260 0.0331
Cl 0.2063 0.5802 0.1731
Cl 0.2937 0.3269 0.9198
Cl 0.2937 0.4669 0.3740
Cl 0.3269 0.9071 0.0331
Cl 0.3269 0.9198 0.2937
Cl 0.3740 0.2937 0.4669
Cl 0.3740 0.5802 0.9071
Cl 0.4071 0.0802 0.8740
Cl 0.4071 0.8269 0.5331
Cl 0.4198 0.0929 0.6260
Cl 0.4198 0.8269 0.7937
Cl 0.4669 0.3740 0.2937
Cl 0.4669 0.5929 0.1731
Cl 0.5331 0.4071 0.8269
Cl 0.5331 0.6260 0.7063
Cl 0.5802 0.1731 0.2063
Cl 0.5802 0.9071 0.3740
Cl 0.5929 0.1731 0.4669
Cl 0.5929 0.9198 0.1260
Cl 0.6260 0.4198 0.0929
Cl 0.6260 0.7063 0.5331
Cl 0.6731 0.0802 0.7063
Cl 0.6731 0.0929 0.9669
Cl 0.7063 0.5331 0.6260
Cl 0.7063 0.6731 0.0802
Cl 0.7937 0.4198 0.8269
Cl 0.7937 0.8740 0.9669
Cl 0.8269 0.5331 0.4071
Cl 0.8269 0.7937 0.4198
Cl 0.8740 0.4071 0.0802
Cl 0.8740 0.9669 0.7937
Cl 0.9071 0.0331 0.3269
Cl 0.9071 0.3740 0.5802
Cl 0.9198 0.1260 0.5929
Cl 0.9198 0.2937 0.3269
Cl 0.9669 0.6731 0.0929
Cl 0.9669 0.7937 0.8740

***

(4)
ThPaOsPt | GGA-PBE | relaxed

## Properties
energy relative to the elements = -0.478 eV per atom

Unit cell a=7.0707 b=7.0707 c=7.0707 alpha=90.00 beta=90.00 gamma=90.00
Fractional positions:
Th 0.0000 0.0000 0.0000
Th 0.0000 0.5000 0.5000
Th 0.5000 0.0000 0.5000
Th 0.5000 0.5000 0.0000
Pa 0.0000 0.0000 0.5000
Pa 0.0000 0.5000 0.0000
Pa 0.5000 0.0000 0.0000
Pa 0.5000 0.5000 0.5000
Os 0.2500 0.2500 0.2500
Os 0.2500 0.7500 0.7500
Os 0.7500 0.2500 0.7500
Os 0.7500 0.7500 0.2500
Pt 0.2500 0.2500 0.7500
Pt 0.2500 0.7500 0.2500
Pt 0.7500 0.2500 0.2500
Pt 0.7500 0.7500 0.7500

***

Results for size of the total moment: 0.0 0.0 35.1 0.0 (in μB/f.u., following the order of the records).